Entry 1:
10
Lattice="4.193 0.000 0.000 0.000 10.988 -0.299 -2.097 -2.112 7.037" Properties=species:S:1:pos:R:3 comment="PBE-GGA Sc4Te5H, relaxed" dft_energy_ev_per_cell=-53.5 pbc="T T T"
Te 0.000 2.212 2.422
Te 0.000 9.150 1.799
Te 2.097 -0.275 4.940
Te 2.097 5.494 -0.149
Te 2.097 6.663 4.316
Sc 2.097 0.249 1.951
Sc 2.097 5.266 6.689
Sc 0.000 3.609 0.049
Sc 0.000 8.627 4.787
H 2.097 0.000 0.000

***

Entry 2:
10
Lattice="6.269 0.000 0.000 0.000 6.269 0.000 0.000 0.000 4.303" Properties=species:S:1:pos:R:3 comment="PBE-GGA ScTe2H2, relaxed" de_polymorph_mev_per_atom=393.5 pbc="T T T"
H 4.243 1.108 0.000
H 1.108 2.026 0.000
H 5.161 4.243 0.000
H 2.026 5.161 0.000
Te 5.286 2.152 2.152
Te 4.117 5.286 2.152
Te 2.152 0.983 2.152
Te 0.983 4.117 2.152
Sc 3.134 3.134 0.000
Sc 0.000 0.000 0.000

***

Entry 3:
4
Lattice="1.972 0.000 8.855 -0.986 1.708 8.855 -0.986 -1.708 8.855" Properties=species:S:1:pos:R:3 comment="PBE-GGA ScTe2H, relaxed" de_polymorph_mev_per_atom=1089.4 pbc="T T T"
H 0.000 0.000 13.282
Te 0.000 0.000 2.847
Te 0.000 0.000 23.718
Sc 0.000 0.000 0.000

***

Entry 4:
8
Lattice="-2.993 -1.079 2.893 5.064 0.197 5.319 -1.634 6.760 0.812" Properties=species:S:1:pos:R:3 comment="PBE-GGA ScTe2H, relaxed" de_polymorph_mev_per_atom=10.6 pbc="T T T"
Te 2.748 6.507 5.473
Te -2.308 2.746 2.029
Te 1.720 3.384 3.243
Te -1.279 5.869 4.258
H 1.980 1.757 2.881
H 3.002 1.311 6.999
Sc 0.724 4.481 5.819
Sc -0.310 4.923 1.711

***

Entry 5:
16
Lattice="6.946 0.000 0.562 0.000 5.846 0.000 0.748 0.000 7.240" Properties=species:S:1:pos:R:3 comment="PBE-GGA Sc2TeH, relaxed" de_polymorph_mev_per_atom=0.0 pbc="T T T"
H 5.561 3.862 2.680
H 2.088 4.906 2.399
H 2.133 1.984 5.122
H 5.606 0.939 5.403
Sc 1.678 3.705 4.009
Sc 2.543 0.782 3.512
Sc 6.016 2.141 3.793
Sc 5.151 5.064 4.290
Sc 7.415 0.896 6.436
Sc 0.279 4.949 1.366
Sc 3.752 3.819 1.647
Sc 3.942 2.027 6.155
Te 6.394 3.691 6.528
Te 4.773 0.768 1.555
Te 2.921 5.077 6.247
Te 1.300 2.154 1.274

***

Entry 6:
5
Lattice="3.644 0.000 0.000 0.000 3.644 0.000 1.822 1.822 6.429" Properties=species:S:1:pos:R:3 comment="PBE-GGA ScTe2H2, relaxed" de_polymorph_mev_per_atom=519.8 pbc="T T T"
H 3.644 1.822 3.214
H 1.822 3.644 3.214
Te 1.822 1.822 1.692
Te 3.644 3.644 4.737
Sc 0.000 0.000 0.000

***

Entry 7:
14
Lattice="5.771 0.000 0.000 0.000 5.771 0.000 0.000 0.000 5.771" Properties=species:S:1:pos:R:3 comment="PBE-GGA Sc3TeH3, relaxed" dft_energy_ev_per_cell=-73.1 pbc="T T T"
Sc 0.000 1.443 2.886
Sc 4.328 2.886 0.000
Sc 1.443 2.886 0.000
Sc 2.886 0.000 4.328
Sc 0.000 4.328 2.886
Sc 2.886 0.000 1.443
H 1.443 0.000 2.886
H 2.886 1.443 0.000
H 2.886 4.328 0.000
H 4.328 0.000 2.886
H 0.000 2.886 1.443
H 0.000 2.886 4.328
Te 0.000 0.000 0.000
Te 2.886 2.886 2.886

***

Entry 8:
5
Lattice="-2.396 -1.404 2.688 3.356 -5.192 0.280 2.192 1.566 2.771" Properties=species:S:1:pos:R:3 comment="PBE-GGA ScTiTeH2, relaxed" dft_energy_ev_per_cell=-24.3 pbc="T T T"
H 1.096 0.783 1.386
H -1.198 -0.702 1.344
Te 1.576 -2.515 2.870
Sc 0.000 0.000 0.000
Ti 1.678 -2.596 0.140

***

Entry 9:
5
Lattice="4.008 0.000 0.000 0.000 5.943 0.000 0.000 0.000 4.008" Properties=species:S:1:pos:R:3 comment="PBE-GGA ScZnTeH2, relaxed" dft_energy_ev_per_cell=-15.9 pbc="T T T"
H 2.004 0.000 0.000
H 0.000 0.000 2.004
Te 0.000 0.000 0.000
Zn 2.004 2.971 2.004
Sc 0.000 2.971 0.000

***

Entry 10:
11
Lattice="-1.768 2.147 -2.611 -4.237 -1.595 1.557 2.731 4.280 4.456" Properties=species:S:1:pos:R:3 comment="PBE-GGA Th2ScH8, relaxed" dft_energy_ev_per_cell=-53.3 pbc="T T T"
H -0.518 3.057 5.650
H -2.756 1.775 -2.248
H -4.229 1.165 1.035
H -3.159 2.910 1.745
H 0.956 3.666 2.367
H -1.341 2.802 3.211
H -0.114 1.921 1.657
H -1.933 2.030 0.191
Th -2.208 0.698 2.069
Th -1.066 4.133 1.333
Sc -0.884 1.073 -1.305

***

Entry 11:
4
Lattice="3.359 0.000 0.000 1.679 2.909 0.000 1.679 0.970 5.901" Properties=species:S:1:pos:R:3 comment="PBE-GGA ThScH2, relaxed" de_polymorph_mev_per_atom=62.9 pbc="T T T"
Sc 5.038 2.909 5.856
H 1.679 0.970 4.768
H 1.679 0.970 1.073
Th 3.359 1.939 3.055

***

Entry 12:
5
Lattice="4.685 0.000 0.000 0.000 4.685 0.000 0.000 0.000 4.685" Properties=species:S:1:pos:R:3 comment="PBE-GGA ThSc3H, relaxed" dft_energy_ev_per_cell=-30.4 pbc="T T T"
Th 2.342 2.342 2.342
Sc 0.000 2.342 0.000
Sc 2.342 0.000 0.000
Sc 0.000 0.000 2.342
H 0.000 0.000 0.000

***

Entry 13:
4
Lattice="-3.239 -1.034 0.314 -1.424 -1.919 -2.439 0.216 -5.714 1.979" Properties=species:S:1:pos:R:3 comment="PBE-GGA ThScH2, relaxed" de_polymorph_mev_per_atom=0.0 pbc="T T T"
Sc 0.000 0.000 0.000
Th -2.224 -4.334 -0.073
H -1.179 -1.988 -0.138
H -3.269 -6.680 -0.008

***

Entry 14:
80
Lattice="10.972 0.000 0.000 -3.657 10.345 0.000 -3.657 -5.172 8.959" Properties=species:S:1:pos:R:3 comment="PBE-GGA Th3Sc5H12, relaxed" dft_energy_ev_per_cell=-412.7 pbc="T T T"
H 1.108 0.796 5.199
H -1.108 -2.858 6.390
H 4.765 1.518 1.191
H 1.448 -1.261 8.213
H 6.594 -3.654 7.768
H 4.765 8.031 2.569
H -1.986 2.413 5.670
H 4.038 1.261 8.213
H -3.161 4.535 4.925
H -1.986 -4.054 8.514
H 2.210 3.896 0.720
H 7.696 5.187 1.465
H 5.643 9.227 0.445
H 1.986 -1.642 5.225
H 4.378 -0.796 5.199
H -1.108 3.654 7.768
H -0.381 6.449 0.720
H -3.501 4.054 8.514
H 7.472 -2.413 5.670
H 2.209 6.434 0.746
H 2.550 4.377 3.760
H 6.818 0.637 4.034
H -0.497 0.589 1.911
H 4.038 -1.276 8.239
H 5.643 2.760 3.289
H 4.154 4.584 7.048
H 2.326 1.226 3.014
H 0.157 3.531 3.734
H 5.983 -0.589 1.911
H 4.989 5.810 4.925
H 3.501 1.642 5.225
H -3.814 7.585 3.289
H 7.158 1.118 0.445
H -4.378 2.858 6.390
H 1.448 1.276 8.239
H 3.161 -1.226 3.014
H 1.672 6.814 3.734
H -2.937 8.826 1.191
H -1.332 -0.637 4.034
H 0.497 6.398 5.945
H 5.105 5.157 1.465
H 8.036 2.314 2.569
H -1.448 0.015 7.494
H 1.332 3.946 5.945
H -2.326 5.761 7.048
H -4.038 -0.015 7.494
H -0.721 5.968 3.760
H -0.381 3.911 0.746
Sc 0.914 -2.586 6.719
Sc -0.914 0.647 5.599
Sc 2.743 1.940 1.120
Sc 4.572 4.526 3.360
Sc 3.657 -2.586 4.479
Sc 4.572 2.586 6.719
Sc -3.657 2.586 4.479
Sc -2.743 5.819 3.360
Sc -1.829 -2.586 4.479
Sc -0.914 2.586 2.240
Sc 6.401 -0.647 5.599
Sc 0.000 0.000 0.000
Sc -0.914 8.405 1.120
Sc 4.572 -3.233 7.839
Sc -1.829 5.172 0.000
Sc 2.743 7.759 2.240
Sc 3.657 5.172 0.000
Sc 0.914 3.233 7.839
Sc 5.486 0.000 0.000
Sc 1.829 2.586 4.479
Th 2.743 0.000 6.719
Th -2.743 -1.940 7.839
Th 6.401 3.233 1.120
Th 2.743 5.819 5.599
Th 0.914 5.172 2.240
Th -4.572 5.172 6.719
Th 4.572 0.647 3.360
Th -2.743 1.940 7.839
Th 8.229 0.000 2.240
Th -0.914 4.526 5.599
Th 6.401 7.112 1.120
Th 0.914 -0.647 3.360

***

Entry 15:
5
Lattice="5.016 0.000 0.000 0.000 5.016 0.000 0.000 0.000 5.016" Properties=species:S:1:pos:R:3 comment="PBE-GGA Th3ScH, relaxed" dft_energy_ev_per_cell=-32.1 pbc="T T T"
Th 2.508 0.000 0.000
Th 0.000 0.000 2.508
Th 0.000 2.508 0.000
H 0.000 0.000 0.000
Sc 2.508 2.508 2.508

***

Entry 16:
6
Lattice="-0.321 0.127 -3.188 -2.175 -2.353 0.125 -3.366 3.135 0.464" Properties=species:S:1:pos:R:3 comment="PBE-GGA ScTiH4, relaxed" dft_energy_ev_per_cell=-31.2 pbc="T T T"
H -1.982 -0.332 0.182
H -3.230 -1.445 -1.349
H -3.535 1.115 0.396
H -4.783 0.002 -1.135
Ti -3.846 -0.785 0.352
Sc -4.602 2.023 -1.073

***

Entry 17:
10
Lattice="-1.444 1.380 -2.591 -2.912 -1.042 1.068 1.441 5.290 4.080" Properties=species:S:1:pos:R:3 comment="PBE-GGA ScTi2H7, relaxed" dft_energy_ev_per_cell=-50.4 pbc="T T T"
H -1.598 0.527 1.171
H -2.052 3.890 3.215
H -1.825 2.208 2.193
H -0.864 1.738 -0.659
H -1.318 5.101 1.386
H -1.091 3.420 0.363
H -2.178 0.169 -0.762
Ti -2.430 2.033 0.371
Ti -0.486 3.595 2.185
Sc 0.000 0.000 0.000

***

Entry 18:
5
Lattice="3.566 0.000 0.000 0.000 3.566 0.000 1.783 1.783 5.024" Properties=species:S:1:pos:R:3 comment="PBE-GGA ScTi2H2, relaxed" dft_energy_ev_per_cell=-29.9 pbc="T T T"
H 1.783 3.566 2.512
H 3.566 1.783 2.512
Ti 3.566 3.566 3.137
Ti 1.783 1.783 1.886
Sc 0.000 0.000 0.000

***

Entry 19:
8
Lattice="-4.307 3.762 -0.314 -1.565 -2.213 -5.045 -5.308 -1.786 -0.821" Properties=species:S:1:pos:R:3 comment="PBE-GGA ScTi2H, relaxed" de_polymorph_mev_per_atom=0.0 pbc="T T T"
Sc -6.275 1.375 -1.907
Sc 0.000 0.000 0.000
Ti -8.630 0.706 -3.730
Ti -6.671 -1.450 -4.200
Ti -2.870 0.454 -0.934
Ti -4.187 -0.185 -3.496
H -4.904 -1.612 -4.273
H -2.936 0.774 -2.680

***

Entry 20:
4
Lattice="-0.809 2.849 0.262 -2.866 0.758 -0.218 -2.058 0.260 7.690" Properties=species:S:1:pos:R:3 comment="PBE-GGA ScTi2H, relaxed" de_polymorph_mev_per_atom=49.0 pbc="T T T"
Ti -1.765 0.592 4.991
Ti -3.968 3.275 2.743
H -2.866 1.933 3.867
Sc 0.000 0.000 0.000

***

Entry 21:
4
Lattice="0.999 -3.241 3.260 -1.839 0.360 4.315 -3.318 -3.025 1.402" Properties=species:S:1:pos:R:3 comment="PBE-GGA Sc2TiH, relaxed" de_polymorph_mev_per_atom=724.0 pbc="T T T"
Sc -3.118 -4.430 6.733
Sc -1.039 -1.477 2.244
Ti -2.079 -2.953 4.489
H 0.000 0.000 0.000